Computed, not measured: a relaxed structure of Ac5Al2Bi at the PBE level of DFT.

The calculation puts the total DFT energy (no corrections) at -4.36 eV per atom.

It has space group I4/mcm (No. 140), with a = 8.6786 Å, b = 8.6786 Å, c = 15.4736 Å, α = 90.00°, β = 90.00° and γ = 90.00°. The inequivalent atoms are Ac at (0.0000, 0.0000, 0.0000), Ac at (0.1671, 0.3329, 0.1455), Al at (0.1181, 0.3819, 0.5000) and Bi at (0.0000, 0.0000, 0.2500).



Computed, not measured: a relaxed structure of BaMoRh2 at the PBE level of DFT.

Its offset from the most stable computed form is 0.000 eV/atom.

It has space group R-3m (No. 166, hexagonal axes), with a = 4.3300 Å, b = 4.3300 Å, c = 17.8273 Å, α = 90.00°, β = 90.00° and γ = 120.00°. The inequivalent atoms are Ba at (0.0000, 0.0000, 0.0000), Mo at (0.0000, 0.0000, 0.5000) and Rh at (0.0000, 0.0000, 0.2006).



Computed, not measured: a relaxed structure of Ce2DyTl3Se6 at the PBE level of DFT.

For the uncorrected formation energy, the calculation gives -1.338 eV per atom.

It has space group C2/m (No. 12), with a = 7.4407 Å, b = 12.8837 Å, c = 8.1275 Å, α = 90.00°, β = 107.75° and γ = 90.00°. The inequivalent atoms are Ce at (0.0000, 0.1666, 0.0000), Dy at (0.0000, 0.5000, 0.0000), Tl at (0.0000, 0.0000, 0.5000), Tl at (0.0000, 0.3329, 0.5000), Se at (0.2316, 0.3374, 0.2067) and Se at (0.2442, 0.0000, 0.2083).



Computed, not measured: a relaxed structure of Sc6Al2NO at the PBE level of DFT.

For the uncorrected formation energy, the calculation gives -1.283 eV per atom.

It has space group Fm-3m (No. 225), with a = 8.8127 Å, b = 8.8127 Å, c = 8.8127 Å, α = 90.00°, β = 90.00° and γ = 90.00°. The inequivalent atoms are Sc at (0.0000, 0.0000, 0.2477), Al at (0.2500, 0.2500, 0.2500), N at (0.0000, 0.0000, 0.0000) and O at (0.0000, 0.0000, 0.5000).



Total magnetic moment? In order: 4.0; 0.0; 4.0; 0.0 μB per cell.